(1)
DFT (PBE) results for an optimized crystal structure of LiS2O.

* density: 1.965 g/cm3
* E: -3.9825 eV/atom
* total moment: 0.00 μB per cell
* Fermi-level density of states: 0.4324 states/eV per atom

Structure (CIF):
```
data_LiS2O
_chemical_formula_sum 'Li3 S6 O3'
_space_group_name_H-M_alt 'R -3 m'
_space_group_IT_number 166
_space_group_name_Hall '-R 3 2"'
_cell_length_a 3.9452
_cell_length_b 3.9452
_cell_length_c 16.3739
_cell_angle_alpha 90.00
_cell_angle_beta 90.00
_cell_angle_gamma 120.00
loop_
_atom_site_label
_atom_site_type_symbol
_atom_site_fract_x
_atom_site_fract_y
_atom_site_fract_z
Li1 Li 0.0000 0.0000 0.0000
S1 S 0.0000 0.0000 0.4000
O1 O 0.0000 0.0000 0.5000
```

---

(2)
DFT (PBE) results for an optimized crystal structure of In2AuSe2.

* density: 7.589 g/cm3
* total moment: 0.00 μB per cell
* Fermi-level density of states: 0.4870 states/eV per atom
* relative energy among the computed polymorphs: 0.003 eV/atom

Structure (CIF):
```
data_In2AuSe2
_chemical_formula_sum 'In4 Au2 Se4'
_space_group_name_H-M_alt 'I 4/m m m'
_space_group_IT_number 139
_space_group_name_Hall '-I 4 2'
_cell_length_a 5.481
_cell_length_b 5.481
_cell_length_c 8.513
_cell_angle_alpha 90.00
_cell_angle_beta 90.00
_cell_angle_gamma 90.00
loop_
_atom_site_label
_atom_site_type_symbol
_atom_site_fract_x
_atom_site_fract_y
_atom_site_fract_z
In1 In 0.000 0.000 0.167
Au1 Au 0.000 0.000 0.500
Se1 Se 0.000 0.500 0.250
```